TaSCl3 | Alexandria via LeMat-Bulk | GGA-PBEsol | optimized geometry; excess energy over the best structure of this formula in the dataset = 1227 meV per atom; crystal system = cubic; density of states at the Fermi level = 5.53 states/eV/f.u.; formation energy (no corrections) = 104.7 kJ per mole of atoms
1.0
-2.5456 3.9034 1.0725
-0.9629 -1.8145 4.3183
3.9319 2.0828 1.7519
Cl S Ta
3 1 1
direct
0.0000 0.0000 0.5000 Cl
0.0000 0.5000 0.0000 Cl
0.5000 0.0000 0.0000 Cl
0.0000 0.0000 0.0000 S
0.5000 0.5000 0.5000 Ta

---

BaTm2S4 | Alexandria via LeMat-Bulk | GGA-PBEsol | optimized geometry; crystal system = orthorhombic; formation energy (no corrections) = -210.3 kJ per mole of atoms
1.0
3.9520 0.0000 0.0000
0.0000 12.0434 0.0000
0.0000 0.0000 14.2351
S Ba Tm
16 4 8
direct
0.2500 0.0226 0.7174 S
0.7500 0.8762 0.5226 S
0.2500 0.4191 0.4227 S
0.2500 0.5226 0.7826 S
0.7500 0.0809 0.9227 S
0.7500 0.3762 0.9774 S
0.7500 0.2926 0.6603 S
0.2500 0.9191 0.0773 S
0.7500 0.4774 0.2174 S
0.2500 0.6238 0.0226 S
0.2500 0.1238 0.4774 S
0.7500 0.5809 0.5773 S
0.7500 0.9774 0.2826 S
0.2500 0.7074 0.3397 S
0.2500 0.2074 0.1603 S
0.7500 0.7926 0.8397 S
0.7500 0.2419 0.3372 Ba
0.7500 0.7419 0.1628 Ba
0.2500 0.7581 0.6628 Ba
0.2500 0.2581 0.8372 Ba
0.7500 0.0781 0.6012 Tm
0.7500 0.5669 0.3922 Tm
0.2500 0.4219 0.1012 Tm
0.7500 0.5781 0.8988 Tm
0.2500 0.9331 0.8922 Tm
0.2500 0.9219 0.3988 Tm
0.7500 0.0669 0.1078 Tm
0.2500 0.4331 0.6078 Tm

---

CaP2RhAu | Alexandria via LeMat-Bulk | GGA-PBEsol | optimized geometry; energy of formation from the pure elements = 0.85 eV/atom; crystal system = tetragonal; density of states at the Fermi level = 3.94 states/eV/f.u.
1.0
-1.7718 4.1204 1.3299
-3.2133 -0.2883 -3.3878
-3.2031 -2.4246 3.2444
Au P Rh Ca
1 2 1 1
direct
0.0000 0.0000 0.0000 Au
0.0000 0.5000 0.0000 P
0.5000 0.0000 0.0000 P
0.5000 0.5000 0.5000 Rh
0.0000 0.0000 0.5000 Ca

---

CrPt2 | Alexandria via LeMat-Bulk | GGA-PBEsol | optimized geometry; energy of formation from the pure elements = -0.17 eV/atom; crystal system = tetragonal; density of states at the Fermi level = 3.41 states/eV/f.u.
1.0
-3.0237 -2.2991 -0.4319
1.8731 -1.9565 -2.6979
4.8599 -5.0426 9.7396
Cr Pt
4 8
direct
0.3315 0.8315 0.6630 Cr
0.1685 0.6685 0.3370 Cr
0.0815 0.0815 0.1630 Cr
0.9185 0.9185 0.8370 Cr
0.4150 0.4150 0.8301 Pt
0.7493 0.7493 0.4986 Pt
0.5850 0.5850 0.1699 Pt
0.5007 0.0007 0.0014 Pt
0.8350 0.3350 0.6699 Pt
0.9993 0.4993 0.9986 Pt
0.6650 0.1650 0.3301 Pt
0.2507 0.2507 0.5014 Pt

---

LaAlSCl2 | Alexandria via LeMat-Bulk | GGA-PBEsol | optimized geometry; crystal system = tetragonal; formation energy (no corrections) = -113.1 kJ per mole of atoms
1.0
5.4787 0.0000 0.0000
0.0000 5.4839 0.0000
0.0000 0.0000 5.4839
Cl La Al S
2 1 1 1
direct
0.0000 0.5000 0.0000 Cl
0.0000 0.0000 0.5000 Cl
0.0000 0.0000 0.0000 La
0.5000 0.5000 0.5000 Al
0.5000 0.0000 0.0000 S

---

ReRu3 | Alexandria via LeMat-Bulk | GGA-PBEsol | optimized geometry; excess energy over the best structure of this formula in the dataset = 143 meV per atom; energy of formation from the pure elements = 0.08 eV/atom; crystal system = monoclinic; density of states at the Fermi level = 4.17 states/eV/f.u.
1.0
2.6868 0.0000 0.0000
-1.3434 4.4482 0.0046
0.0000 -0.8248 4.5721
Ru Re
3 1
direct
0.2503 0.5005 0.7506 Ru
0.5000 0.0000 0.5000 Ru
0.7497 0.4995 0.2494 Ru
0.0000 0.0000 0.0000 Re

---

Number 1: VASP energy -3.507 eV/atom. Number 2: VASP energy -6.392 eV/atom. Number 3: VASP energy -4.303 eV/atom. Number 4: VASP energy -8.231 eV/atom. Number 5: VASP energy -4.740 eV/atom. Number 6: VASP energy -10.885 eV/atom.